# Sm3Ni6Sn5

A relaxed Sm3Ni6Sn5 crystal (PBE-GGA, Alexandria).

Geometry as POSCAR:
```
Sm3Ni6Sn5
1.0
-1.657 -3.596 -1.684
6.412 -5.283 4.973
-8.319 -0.795 9.882
Sn Sm Ni
10 6 12
direct
0.000 0.781 0.000
0.500 0.489 0.365
0.500 0.219 0.500
0.000 0.897 0.671
0.000 0.897 0.329
0.500 0.103 0.829
0.000 0.511 0.865
0.500 0.103 0.171
0.500 0.489 0.635
0.000 0.511 0.135
0.000 0.251 0.314
0.000 0.235 0.000
0.500 0.749 0.814
0.500 0.749 0.186
0.000 0.251 0.686
0.500 0.765 0.500
0.000 0.629 0.328
0.000 0.505 0.500
0.500 0.495 0.000
0.000 0.978 0.872
0.500 0.022 0.372
0.000 0.043 0.500
0.500 0.371 0.828
0.500 0.957 0.000
0.500 0.022 0.628
0.000 0.629 0.672
0.000 0.978 0.128
0.500 0.371 0.172
```

Values from the calculation:
Total magnetization = 0.0 Bohr magnetons per cell
Symmetry = No. 59
DOS at the Fermi energy = 10.00 states/eV/f.u.
DFT total energy = -0.3987 Ry per atom